Computed, not measured: a geometry-optimized TcRhF2 structure at the PBE level of DFT.

Lattice parameters (Å, degrees): 4.2248 4.2248 4.2248 60.00 60.00 60.00
Closest atoms and distances in Å follow each position.
Fractional coordinates of all 4 atoms:
F 0.2500 0.2500 0.2500  4 Tc 2.59, 4 Rh 2.59
F 0.7500 0.7500 0.7500  4 Tc 2.59, 4 Rh 2.59
Tc 0.0000 0.0000 0.0000  8 F 2.59
Rh 0.5000 0.5000 0.5000  8 F 2.59

## Properties
relative energy among the computed polymorphs: 754 meV/atom

Computed, not measured: a geometry-optimized TcRh3F structure at the PBE level of DFT.

Lattice parameters (Å, degrees): 4.6749 4.6749 4.6749 90.00 90.00 90.00
Closest atoms and distances in Å follow each position.
Fractional coordinates of all 5 atoms:
Rh 0.5000 0.0000 0.0000  2 Tc 2.34
F 0.5000 0.5000 0.5000  12 Rh 3.31
Rh 0.0000 0.5000 0.0000  2 Tc 2.34
Rh 0.0000 0.0000 0.5000  2 Tc 2.34
Tc 0.0000 0.0000 0.0000  6 Rh 2.34

## Properties
relative energy among the computed polymorphs: 325 meV/atom

Calculated DFT total energy (eV/cell), listed in the same order as above: -20.777, -28.313